A) A plane-wave DFT calculation with PBE-GGA was carried out for a relaxed structure of Dy3YHo3.

Unit cell a=6.1422 b=6.1422 c=14.5916 alpha=77.85 beta=77.85 gamma=60.00
Fractional coordinates of all 14 atoms:
1 Ho 0.5990 0.9334 0.2003
2 Ho 0.2673 0.5990 0.2003
3 Dy 0.1329 0.4641 0.6015
4 Dy 0.8671 0.5359 0.3985
5 Ho 0.7327 0.4009 0.7997
6 Ho 0.9334 0.2673 0.2003
7 Dy 0.4641 0.8015 0.6015
8 Dy 0.8015 0.1329 0.6015
9 Dy 0.5359 0.1985 0.3985
10 Ho 0.4009 0.0666 0.7997
11 Y 0.3333 0.3333 0.0001
12 Y 0.6667 0.6667 0.9999
13 Dy 0.1985 0.8671 0.3985
14 Ho 0.0666 0.7327 0.7997

Summary:
- M_tot (μB per cell) = 0.00
- symmetry = R-3

B) A plane-wave DFT calculation with PBE-GGA was carried out for a relaxed structure of Dy3YHo3.

Unit cell a=6.2759 b=6.2759 c=6.2759 alpha=102.13 beta=102.13 gamma=102.13
Fractional coordinates of all 7 atoms:
1 Dy 0.1694 0.5206 0.5206
2 Ho 0.5607 0.9596 0.9596
3 Dy 0.5206 0.1694 0.5206
4 Y 0.1089 0.1089 0.1089
5 Dy 0.5206 0.5206 0.1694
6 Ho 0.9596 0.9596 0.5607
7 Ho 0.9596 0.5607 0.9596

Summary:
- M_tot (μB per cell) = 0.00
- symmetry = R3m

Which is the most stable structure? A) is the most stable.

A) A plane-wave DFT calculation with PBE-GGA was carried out for a relaxed structure of Dy3Y6Ho2.

Unit cell a=4.7144 b=4.7144 c=17.0084 alpha=97.97 beta=97.97 gamma=90.00
Fractional coordinates of all 11 atoms:
1 Ho 0.4547 0.4547 0.9094
2 Y 0.3793 0.8793 0.7586
3 Y 0.8793 0.3793 0.7586
4 Dy 0.0000 0.0000 0.0000
5 Dy 0.8019 0.8019 0.6037
6 Y 0.6989 0.6989 0.3978
7 Ho 0.5453 0.5453 0.0906
8 Y 0.3011 0.3011 0.6022
9 Y 0.1207 0.6207 0.2414
10 Y 0.6207 0.1207 0.2414
11 Dy 0.1981 0.1981 0.3963

Summary:
- M_tot (μB per cell) = 0.00
- symmetry = I4/mmm

B) A plane-wave DFT calculation with PBE-GGA was carried out for a relaxed structure of Dy3Y6Ho2.

Unit cell a=3.5622 b=3.5622 c=31.9704 alpha=86.81 beta=86.81 gamma=60.00
Fractional coordinates of all 11 atoms:
1 Ho 0.5455 0.5455 0.3634
2 Y 0.3636 0.3636 0.9091
3 Dy 0.7273 0.7273 0.8182
4 Y 0.1820 0.1820 0.4541
5 Dy 0.0000 0.0000 0.0000
6 Ho 0.4545 0.4545 0.6366
7 Y 0.8180 0.8180 0.5459
8 Y 0.6364 0.6364 0.0909
9 Y 0.0909 0.0909 0.7272
10 Dy 0.2727 0.2727 0.1818
11 Y 0.9091 0.9091 0.2728

Summary:
- M_tot (μB per cell) = 0.00
- symmetry = R-3m

Which is the most stable structure? B) is the most stable.

A) A plane-wave DFT calculation with PBE-GGA was carried out for a relaxed structure of Dy5Y4Ho2.

Unit cell a=6.6126 b=6.6126 c=9.2499 alpha=75.44 beta=75.44 gamma=66.82
Fractional coordinates of all 11 atoms:
1 Ho 0.8538 0.8538 0.1200
2 Dy 0.7888 0.3453 0.2215
3 Y 0.6707 0.6707 0.8772
4 Ho 0.1462 0.1462 0.8800
5 Dy 0.3453 0.7888 0.2215
6 Dy 0.2112 0.6547 0.7785
7 Dy 0.6547 0.2112 0.7785
8 Y 0.3170 0.3170 0.5014
9 Dy 0.0000 0.0000 0.5000
10 Y 0.6830 0.6830 0.4986
11 Y 0.3293 0.3293 0.1228

Summary:
- M_tot (μB per cell) = 0.01
- symmetry = C2/m

B) A plane-wave DFT calculation with PBE-GGA was carried out for a relaxed structure of Dy5Y4Ho2.

Unit cell a=3.5028 b=9.0160 c=12.5657 alpha=111.02 beta=98.01 gamma=90.00
Fractional coordinates of all 11 atoms:
1 Dy 0.1457 0.3440 0.2915
2 Ho 0.2684 0.2684 0.5368
3 Y 0.5981 0.5981 0.1963
4 Y 0.0000 0.3083 0.0000
5 Dy 0.8543 0.6560 0.7085
6 Dy 0.8543 0.0525 0.7085
7 Dy 0.5000 0.0000 0.0000
8 Y 0.0000 0.6917 0.0000
9 Ho 0.7316 0.7316 0.4632
10 Dy 0.1457 0.9475 0.2915
11 Y 0.4019 0.4019 0.8037

Summary:
- M_tot (μB per cell) = 0.00
- symmetry = Immm

Which is the most stable structure? A) is the most stable.

A) A plane-wave DFT calculation with PBE-GGA was carried out for a relaxed structure of Dy12Y6Ho.

Unit cell a=8.5289 b=8.5289 c=8.5289 alpha=91.81 beta=91.81 gamma=91.81
Fractional coordinates of all 19 atoms:
1 Dy 0.5271 0.4623 0.7896
2 Dy 0.4729 0.5377 0.2104
3 Dy 0.3728 0.0497 0.1540
4 Ho 0.0000 0.0000 0.0000
5 Y 0.2681 0.7261 0.8822
6 Y 0.8822 0.2681 0.7261
7 Dy 0.7896 0.5271 0.4623
8 Dy 0.8460 0.6272 0.9503
9 Dy 0.6272 0.9503 0.8460
10 Dy 0.0497 0.1540 0.3728
11 Y 0.1178 0.7319 0.2739
12 Dy 0.5377 0.2104 0.4729
13 Y 0.2739 0.1178 0.7319
14 Y 0.7261 0.8822 0.2681
15 Dy 0.1540 0.3728 0.0497
16 Dy 0.9503 0.8460 0.6272
17 Y 0.7319 0.2739 0.1178
18 Dy 0.2104 0.4729 0.5377
19 Dy 0.4623 0.7896 0.5271

Summary:
- M_tot (μB per cell) = 0.00
- symmetry = R-3

B) A plane-wave DFT calculation with PBE-GGA was carried out for a relaxed structure of Dy12Y6Ho.

Unit cell a=8.6780 b=8.6780 c=8.6780 alpha=98.45 beta=98.45 gamma=98.45
Fractional coordinates of all 19 atoms:
1 Y 0.0999 0.6589 0.0999
2 Dy 0.3554 0.3554 0.0820
3 Dy 0.6446 0.9180 0.6446
4 Dy 0.3554 0.0820 0.3554
5 Dy 0.7571 0.5000 0.2429
6 Dy 0.2429 0.5000 0.7571
7 Ho 0.0000 0.0000 0.0000
8 Dy 0.5000 0.7571 0.2429
9 Dy 0.5000 0.2429 0.7571
10 Dy 0.9180 0.6446 0.6446
11 Dy 0.2429 0.7571 0.5000
12 Y 0.6589 0.0999 0.0999
13 Dy 0.7571 0.2429 0.5000
14 Dy 0.6446 0.6446 0.9180
15 Y 0.0999 0.0999 0.6589
16 Y 0.9001 0.3411 0.9001
17 Y 0.9001 0.9001 0.3411
18 Dy 0.0820 0.3554 0.3554
19 Y 0.3411 0.9001 0.9001

Summary:
- M_tot (μB per cell) = 0.00
- symmetry = R-3m

Which is the most stable structure? A) is the most stable.

A) A plane-wave DFT calculation with PBE-GGA was carried out for a relaxed structure of Dy4Y3Ho4.

Unit cell a=3.5404 b=11.1664 c=10.7905 alpha=121.16 beta=99.44 gamma=90.00
Fractional coordinates of all 11 atoms:
1 Dy 0.5000 0.2072 0.0000
2 Dy 0.7779 0.2779 0.5559
3 Y 0.0000 0.5000 0.0000
4 Ho 0.3297 0.0903 0.6595
5 Dy 0.5000 0.7928 0.0000
6 Ho 0.6703 0.9097 0.3405
7 Y 0.8919 0.8919 0.7839
8 Y 0.1081 0.1081 0.2161
9 Ho 0.6703 0.4308 0.3405
10 Ho 0.3297 0.5692 0.6595
11 Dy 0.2221 0.7221 0.4441

Summary:
- M_tot (μB per cell) = 0.07
- symmetry = Immm

B) A plane-wave DFT calculation with PBE-GGA was carried out for a relaxed structure of Dy4Y3Ho4.

Unit cell a=5.6305 b=6.6293 c=10.4844 alpha=90.00 beta=90.00 gamma=115.13
Fractional coordinates of all 11 atoms:
1 Y 0.2537 0.5074 0.0000
2 Ho 0.7541 0.5082 0.7908
3 Y 0.4064 0.8129 0.7033
4 Dy 0.5498 0.0996 0.0000
5 Y 0.4064 0.8129 0.2967
6 Ho 0.8920 0.7841 0.5000
7 Dy 0.1014 0.2028 0.7074
8 Ho 0.9569 0.9138 0.0000
9 Dy 0.6222 0.2443 0.5000
10 Ho 0.7541 0.5082 0.2092
11 Dy 0.1014 0.2028 0.2926

Summary:
- M_tot (μB per cell) = 0.00
- symmetry = Amm2

Which is the most stable structure? B) is the most stable.

A) A plane-wave DFT calculation with PBE-GGA was carried out for a relaxed structure of Dy3Y5Ho2.

Unit cell a=9.3976 b=9.3961 c=11.0883 alpha=124.95 beta=124.95 gamma=69.40
Fractional coordinates of all 20 atoms:
1 Y 0.6105 0.8616 0.2262
2 Y 0.1157 0.3646 0.2262
3 Dy 0.0175 0.7709 0.2411
4 Y 0.7207 0.4707 0.9414
5 Y 0.4794 0.7294 0.4589
6 Dy 0.2206 0.9706 0.9412
7 Y 0.5206 0.2706 0.5411
8 Y 0.8843 0.6354 0.7738
9 Y 0.2793 0.5293 0.0586
10 Dy 0.9825 0.2291 0.7589
11 Ho 0.4806 0.7339 0.7603
12 Y 0.0197 0.7697 0.5394
13 Dy 0.7794 0.0294 0.0588
14 Ho 0.7797 0.0264 0.7603
15 Dy 0.2764 0.5298 0.7589
16 Dy 0.7236 0.4702 0.2411
17 Ho 0.2203 0.9736 0.2397
18 Y 0.9803 0.2303 0.4606
19 Y 0.3895 0.1384 0.7738
20 Ho 0.5194 0.2661 0.2397

Summary:
- M_tot (μB per cell) = 0.00
- symmetry = C2/c

B) A plane-wave DFT calculation with PBE-GGA was carried out for a relaxed structure of Dy3Y5Ho2.

Unit cell a=6.7134 b=11.6223 c=11.6223 alpha=49.83 beta=73.21 gamma=73.21
Fractional coordinates of all 20 atoms:
1 Y 0.0830 0.1670 0.1670
2 Dy 0.2500 0.0000 0.0000
3 Ho 0.5566 0.1930 0.6938
4 Y 0.7907 0.5398 0.8789
5 Y 0.2093 0.4602 0.1211
6 Ho 0.4434 0.8070 0.3062
7 Y 0.5830 0.1670 0.1670
8 Y 0.7093 0.1211 0.4602
9 Y 0.2500 0.5000 0.5000
10 Y 0.4170 0.8330 0.8330
11 Y 0.9170 0.8330 0.8330
12 Ho 0.9434 0.3062 0.8070
13 Y 0.7500 0.5000 0.5000
14 Dy 0.1249 0.1886 0.5617
15 Dy 0.8751 0.8114 0.4383
16 Ho 0.0566 0.6938 0.1930
17 Dy 0.3751 0.4383 0.8114
18 Dy 0.6249 0.5617 0.1886
19 Y 0.2907 0.8789 0.5398
20 Dy 0.7500 0.0000 0.0000

Summary:
- M_tot (μB per cell) = 0.19
- symmetry = Ibam

Which is the most stable structure? A) is the most stable.

A) A plane-wave DFT calculation with PBE-GGA was carried out for a relaxed structure of Dy5Y3Ho.

Unit cell a=9.4755 b=9.4755 c=11.5674 alpha=52.93 beta=52.93 gamma=73.89
Fractional coordinates of all 18 atoms:
1 Dy 0.5107 0.5107 0.7665
2 Dy 0.8157 0.8157 0.9628
3 Y 0.6590 0.6590 0.3614
4 Dy 0.1843 0.1843 0.0372
5 Dy 0.4893 0.4893 0.2335
6 Dy 0.2570 0.7430 0.0000
7 Dy 0.7430 0.2570 0.0000
8 Y 0.6919 0.6919 0.8190
9 Y 0.3410 0.3410 0.6386
10 Y 0.3081 0.3081 0.1810
11 Dy 0.3460 0.8488 0.2475
12 Dy 0.6540 0.1512 0.7525
13 Y 0.0000 0.0000 0.5000
14 Ho 0.1482 0.1482 0.6001
15 Y 0.0000 0.0000 0.0000
16 Ho 0.8518 0.8518 0.3999
17 Dy 0.8488 0.3460 0.2475
18 Dy 0.1512 0.6540 0.7525

Summary:
- M_tot (μB per cell) = 0.00
- symmetry = C2/m

B) A plane-wave DFT calculation with PBE-GGA was carried out for a relaxed structure of Dy5Y3Ho.

Unit cell a=6.6898 b=12.1230 c=11.3535 alpha=136.22 beta=90.00 gamma=106.02
Fractional coordinates of all 18 atoms:
1 Dy 0.2947 0.3508 0.9761
2 Y 0.8596 0.4731 0.1194
3 Dy 0.6018 0.2146 0.1708
4 Dy 0.7053 0.6492 0.0239
5 Y 0.0000 0.0000 0.5000
6 Dy 0.6810 0.0000 0.2500
7 Dy 0.3190 0.0000 0.7500
8 Dy 0.6129 0.2146 0.6708
9 Dy 0.3871 0.7854 0.3292
10 Dy 0.3982 0.7854 0.8292
11 Y 0.0000 0.0000 0.0000
12 Y 0.6135 0.4731 0.6194
13 Dy 0.9439 0.6492 0.5239
14 Y 0.1404 0.5269 0.8806
15 Y 0.3865 0.5269 0.3806
16 Ho 0.2261 0.0000 0.2500
17 Ho 0.7739 0.0000 0.7500
18 Dy 0.0561 0.3508 0.4761

Summary:
- M_tot (μB per cell) = 0.00
- symmetry = C2/c

Which is the most stable structure? B) is the most stable.

A) A plane-wave DFT calculation with PBE-GGA was carried out for a relaxed structure of Dy12YHo7.

Unit cell a=9.7376 b=9.7376 c=9.7376 alpha=109.47 beta=109.47 gamma=109.47
Fractional coordinates of all 20 atoms:
1 Dy 0.5035 0.2521 0.2514
2 Dy 0.2521 0.2514 0.5035
3 Ho 0.0000 0.5000 0.5000
4 Ho 0.0000 0.0000 0.5000
5 Y 0.0000 0.0000 0.0000
6 Dy 0.2514 0.5035 0.2521
7 Ho 0.5000 0.0000 0.5000
8 Ho 0.5000 0.5000 0.5000
9 Dy 0.7486 0.0007 0.2521
10 Ho 0.5000 0.5000 0.0000
11 Dy 0.7479 0.7486 0.4965
12 Dy 0.2514 0.9993 0.7479
13 Dy 0.4965 0.7479 0.7486
14 Dy 0.2521 0.7486 0.0007
15 Dy 0.9993 0.7479 0.2514
16 Ho 0.5000 0.0000 0.0000
17 Dy 0.7479 0.2514 0.9993
18 Dy 0.7486 0.4965 0.7479
19 Dy 0.0007 0.2521 0.7486
20 Ho 0.0000 0.5000 0.0000

Summary:
- M_tot (μB per cell) = 0.00
- symmetry = Im-3

B) A plane-wave DFT calculation with PBE-GGA was carried out for a relaxed structure of Dy12YHo7.

Unit cell a=8.6578 b=8.6578 c=8.6578 alpha=94.99 beta=94.99 gamma=94.99
Fractional coordinates of all 20 atoms:
1 Dy 0.4165 0.4795 0.1479
2 Dy 0.2500 0.6865 0.8148
3 Dy 0.1479 0.4165 0.4795
4 Dy 0.8148 0.2500 0.6865
5 Ho 0.3532 0.0214 0.0844
6 Dy 0.3135 0.1852 0.7500
7 Ho 0.0214 0.0844 0.3532
8 Ho 0.5000 0.5000 0.5000
9 Dy 0.8521 0.5835 0.5205
10 Dy 0.5835 0.5205 0.8521
11 Ho 0.0844 0.3532 0.0214
12 Y 0.0000 0.0000 0.0000
13 Dy 0.6865 0.8148 0.2500
14 Dy 0.4795 0.1479 0.4165
15 Dy 0.7500 0.3135 0.1852
16 Ho 0.9786 0.9156 0.6468
17 Ho 0.6468 0.9786 0.9156
18 Dy 0.1852 0.7500 0.3135
19 Ho 0.9156 0.6468 0.9786
20 Dy 0.5205 0.8521 0.5835

Summary:
- M_tot (μB per cell) = 0.00
- symmetry = R-3

Which is the most stable structure? B) is the most stable.